Ta2VTc5B2 | PBE-GGA | optimized geometry

Summary:
Energy in eV/atom: -10.201
Magnetic moment in μB/cell: 0.0

Cell: 9.281 9.281 3.095 Å, 90.00 90.00 90.00°
Space group P4/mbm (No. 127)
Inequivalent atoms, fractional coordinates:
1 Ta 0.176 0.324 0.000 [4 per cell]
2 V 0.000 0.000 0.000 [2 per cell]
3 Tc 0.000 0.500 0.500 [2 per cell]
4 Tc 0.068 0.789 0.500 [8 per cell]
5 B 0.125 0.625 0.000 [4 per cell]

TaBTe2 | PBE-GGA | optimized geometry

Summary:
Energy in eV/atom: -5.191
Magnetic moment in μB/cell: 0.0

Cell: 3.3727 3.3727 25.2089 Å, 90.00 90.00 120.00°
Space group R-3m (No. 166, hexagonal axes)
Inequivalent atoms, fractional coordinates:
1 Ta 0.0000 0.0000 0.0000 [3 per cell]
2 B 0.0000 0.0000 0.5000 [3 per cell]
3 Te 0.0000 0.0000 0.1081 [6 per cell]